Entry 1:
VASP calculation (PBE-GGA) on a relaxed structure of Rb2LiIr.

Output
- E above lowest polymorph: 114.4 meV/atom
- ΔE_f: 1001 meV per atom
- Energy: -2.176 eV/atom
- Density of states at the Fermi level: 0.33 states/eV per atom
- V: 118.4 Å³/f.u.
- Symmetry: No. 122
- Total moment: 0.028 μB/f.u.
- Crystal system: tetragonal

Cell: 4.624 4.624 22.163 Å, 90.00 90.00 90.00°
Sites, in units of the cell vectors:
1 Rb 0.249 0.250 0.125
2 Rb 0.250 0.749 0.375
3 Rb 0.250 0.751 0.875
4 Rb 0.251 0.250 0.625
5 Rb 0.749 0.750 0.625
6 Rb 0.750 0.249 0.875
7 Rb 0.750 0.251 0.375
8 Rb 0.751 0.750 0.125
9 Li 0.000 0.000 0.500
10 Li 0.000 0.500 0.750
11 Li 0.500 0.000 0.250
12 Li 0.500 0.500 0.000
13 Ir 0.000 0.000 0.000
14 Ir 0.000 0.500 0.250
15 Ir 0.500 0.000 0.750
16 Ir 0.500 0.500 0.500

---

Entry 2:
VASP calculation (PBE-GGA) on a relaxed structure of BaIr2Ru2.

Output
- ΔE_f: 371 meV per atom
- Energy: -7.269 eV/atom
- Density of states at the Fermi level: 1.26 states/eV per atom
- V: 98.2 Å³/f.u.
- Symmetry: No. 139
- Total moment: 0.000 μB/f.u.
- Crystal system: tetragonal

Cell: 4.250 4.250 10.869 Å, 90.00 90.00 90.00°
Sites, in units of the cell vectors:
1 Ba 0.000 0.000 0.000
2 Ba 0.500 0.500 0.500
3 Ir 0.000 0.500 0.250
4 Ir 0.000 0.500 0.750
5 Ir 0.500 0.000 0.250
6 Ir 0.500 0.000 0.750
7 Ru 0.000 0.000 0.392
8 Ru 0.000 0.000 0.608
9 Ru 0.500 0.500 0.108
10 Ru 0.500 0.500 0.892

---

Entry 3:
VASP calculation (PBE-GGA) on a relaxed structure of AsP2IrCl.

Output
- E above lowest polymorph: 0.0 meV/atom
- Formation energy without anion corrections: 0.66 eV/atom
- Energy: -4.577 eV/atom
- Density of states at the Fermi level: 0.81 states/eV per atom
- V: 101.8 Å³/f.u.
- Symmetry: No. 123
- Total moment: 0.000 μB/f.u.
- Crystal system: tetragonal

Cell: 4.622 4.622 4.764 Å, 90.00 90.00 90.00°
Sites, in units of the cell vectors:
1 As 0.000 0.000 0.000
2 P 0.000 0.500 0.500
3 P 0.500 0.000 0.500
4 Ir 0.500 0.500 0.500
5 Cl 0.500 0.500 0.000

---

Entry 4:
VASP calculation (PBE-GGA) on a relaxed structure of ScNi4As.

Output
- ΔE_f: -304 meV per atom
- Energy: -5.989 eV/atom
- Density of states at the Fermi level: 0.93 states/eV per atom
- V: 78.9 Å³/f.u.
- Symmetry: No. 216
- Total moment: 0.000 μB/f.u.
- Crystal system: cubic

Cell: 4.815 4.815 4.815 Å, 60.00 60.00 60.00°
Sites, in units of the cell vectors:
1 Sc 0.000 0.000 0.000
2 Ni 0.375 0.375 0.375
3 Ni 0.375 0.375 0.876
4 Ni 0.375 0.876 0.375
5 Ni 0.876 0.375 0.375
6 As 0.750 0.750 0.750

---

- total moment of number 3 (AsP2IrCl)?
  0.000 μB/f.u.

---

- Among the records above, which one has the highest density of states at the Fermi level?
  BaIr2Ru2